Material: NaBeSeBr2
Method: DFT, PBE
State: optimized geometry

Unit cell a=5.1724 b=5.1724 c=4.4679 alpha=90.00 beta=90.00 gamma=90.00
With the nearest neighbours (Å) after each atom.
Atoms (fractional coordinates):
Na  0.0000  0.0000  0.0000  8 Br 3.42, 4 Se 3.66
Be  0.5000  0.5000  0.5000  2 Se 2.23
Se  0.5000  0.5000  0.0000  2 Be 2.23
Br  0.0000  0.5000  0.5000  2 Be 2.59
Br  0.5000  0.0000  0.5000  2 Be 2.59

Offset from the most stable computed form: 0.0 meV per atom
SG: No. 123

=====

Material: NaBeSeBr2
Method: DFT, PBE
State: optimized geometry

Unit cell a=5.3288 b=5.3288 c=5.4436 alpha=90.00 beta=90.00 gamma=90.00
With the nearest neighbours (Å) after each atom.
Atoms (fractional coordinates):
Na  0.0000  0.0000  0.0000  4 Br 2.66, 2 Se 2.72
Be  0.5000  0.5000  0.5000  4 Se 3.77, 8 Br 3.81
Se  0.0000  0.0000  0.5000  2 Na 2.72
Br  0.0000  0.5000  0.0000  2 Na 2.66
Br  0.5000  0.0000  0.0000  2 Na 2.66

Offset from the most stable computed form: 1115.4 meV per atom
SG: No. 123

=====

Number 1: uncorrected formation energy -0.55 eV/atom. Number 2: uncorrected formation energy 0.57 eV/atom.